(1)
The following is a DFT calculation (PBE-GGA) of a relaxed structure of SrTlSi2.

Lattice parameters (Å, degrees): 4.6547 4.6547 4.4054 90.00 90.00 90.00
Atoms (fractional coordinates):
Sr 0.0000 0.0000 0.0000
Tl 0.5000 0.5000 0.0000
Si 0.0000 0.5000 0.5000
Si 0.5000 0.0000 0.5000

Computed properties:
Energy above the most stable polymorph in this dataset ... 0.259 eV per atom
ΔE_f (raw) ... 0.144 eV per atom
Space group ... P4/mmm

(2)
The following is a DFT calculation (PBE-GGA) of a relaxed structure of LaPmPr6.

Lattice parameters (Å, degrees): 5.2467 5.2467 10.4975 90.00 90.00 90.00
Atoms (fractional coordinates):
La 0.0000 0.0000 0.0000
Pm 0.0000 0.0000 0.5000
Pr 0.0000 0.5000 0.2519
Pr 0.0000 0.5000 0.7481
Pr 0.5000 0.0000 0.2519
Pr 0.5000 0.0000 0.7481
Pr 0.5000 0.5000 0.0000
Pr 0.5000 0.5000 0.5000

Computed properties:
Raw total energy ... -38.3 eV/cell
Space group ... P4/mmm

(3)
The following is a DFT calculation (PBE-GGA) of a relaxed structure of Tm2Be12TcB3.

Lattice parameters (Å, degrees): 6.8276 6.8276 6.8276 57.83 57.83 57.83
Atoms (fractional coordinates):
Tm 0.0934 0.0934 0.0934
Tm 0.9066 0.9066 0.9066
Be 0.0382 0.6402 0.6402
Be 0.2494 0.2494 0.5795
Be 0.2494 0.5795 0.2494
Be 0.3598 0.3598 0.9618
Be 0.3598 0.9618 0.3598
Be 0.4205 0.7506 0.7506
Be 0.5795 0.2494 0.2494
Be 0.6402 0.0382 0.6402
Be 0.6402 0.6402 0.0382
Be 0.7506 0.4205 0.7506
Be 0.7506 0.7506 0.4205
Be 0.9618 0.3598 0.3598
Tc 0.5000 0.5000 0.5000
B 0.0000 0.5000 0.5000
B 0.5000 0.0000 0.5000
B 0.5000 0.5000 0.0000

Computed properties:
Raw total energy ... -78.3 eV/cell
Space group ... R-3m

(4)
The following is a DFT calculation (PBE-GGA) of a relaxed structure of Pu3TeS2.

Lattice parameters (Å, degrees): 7.1794 7.1794 7.1434 99.56 99.56 120.35
Atoms (fractional coordinates):
Pu 0.0000 0.5000 0.0000
Pu 0.1226 0.3121 0.4953
Pu 0.3121 0.1226 0.9953
Pu 0.5000 0.0000 0.5000
Pu 0.6879 0.8774 0.0047
Pu 0.8774 0.6879 0.5047
Te 0.4264 0.5736 0.2500
Te 0.5736 0.4264 0.7500
S 0.0838 0.9162 0.2500
S 0.2592 0.7408 0.7500
S 0.7408 0.2592 0.2500
S 0.9162 0.0838 0.7500

Computed properties:
Energy above the most stable polymorph in this dataset ... 0.000 eV per atom
ΔE_f (raw) ... -1.467 eV per atom
Space group ... C2/c

(5)
The following is a DFT calculation (PBE-GGA) of a relaxed structure of AcSmGe2.

Lattice parameters (Å, degrees): 4.1974 6.1885 8.4532 90.00 90.00 90.00
Atoms (fractional coordinates):
Ac 0.0000 0.1261 0.0000
Ac 0.0000 0.8739 0.5000
Sm 0.5000 0.3716 0.3627
Sm 0.5000 0.6284 0.8627
Ge 0.0000 0.3991 0.6411
Ge 0.0000 0.6009 0.1411
Ge 0.5000 0.1384 0.7143
Ge 0.5000 0.8616 0.2143

Computed properties:
Raw total energy ... -42.0 eV/cell
Space group ... Pmc2_1

(6)
The following is a DFT calculation (PBE-GGA) of a relaxed structure of La6TeP3S2.

Lattice parameters (Å, degrees): 9.6192 9.6192 8.6262 103.47 103.47 25.69
Atoms (fractional coordinates):
La 0.0005 0.0005 0.2283
La 0.3252 0.3252 0.4169
La 0.3347 0.3347 0.9134
La 0.6653 0.6653 0.0866
La 0.6748 0.6748 0.5831
La 0.9995 0.9995 0.7717
Te 0.5000 0.5000 0.5000
P 0.1651 0.1651 0.3313
P 0.5000 0.5000 0.0000
P 0.8349 0.8349 0.6687
S 0.1686 0.1686 0.8352
S 0.8314 0.8314 0.1648

Computed properties:
ΔE_f (raw) ... -1.812 eV per atom
Space group ... C2/m